This record from Alexandria via LeMat-Bulk describes an optimized crystal structure of CrC2O2. The functional is GGA+U.

Results
N(E_F)   8.7 states/eV per cell
E above lowest polymorph   0.00 eV/f.u.
Crystal system   tetragonal
Total moment   0.4 μB/f.u.

Structure (CIF):
```
data_CrC2O2
_symmetry_space_group_name_H-M 'I 4/m m m'
_symmetry_Int_Tables_number 139
_symmetry_space_group_name_Hall '-I 4 2'
_cell_length_a 4.030
_cell_length_b 4.030
_cell_length_c 5.300
_cell_angle_alpha 90.00
_cell_angle_beta 90.00
_cell_angle_gamma 90.00
loop_
_atom_site_label
_atom_site_type_symbol
_atom_site_fract_x
_atom_site_fract_y
_atom_site_fract_z
Cr1 Cr 0.000 0.000 0.000
C1 C 0.000 0.000 0.374
O1 O 0.000 0.500 0.250
```